Record 1
An optimized crystal structure of KZrBr2. Source: Alexandria via LeMat-Bulk, functional PBE.

Output
The calculation puts the total magnetic moment at 1.05 μB/f.u. The calculation puts the formation energy (no corrections) at -0.663 eV per atom. As for the energy above the most stable polymorph in this dataset: 147 meV/atom.

Unit cell a=3.5338 b=7.4280 c=10.2702 alpha=90.00 beta=90.00 gamma=90.00
Space group Immm (No. 71)
One atom of each set of equivalent atoms:
1 K 0.0000 0.0000 0.0000
2 Zr 0.0000 0.0000 0.5000
3 Br 0.0000 0.5000 0.2033

=====

Record 2
An optimized crystal structure of KZrBr2. Source: Alexandria via LeMat-Bulk, functional PBE.

Output
The calculation puts the total magnetic moment at 2.55 μB/f.u. The calculation puts the formation energy (no corrections) at -0.406 eV per atom. As for the energy above the most stable polymorph in this dataset: 404 meV/atom.

Unit cell a=4.1975 b=4.1975 c=15.2684 alpha=90.00 beta=90.00 gamma=90.00
Space group I-4m2 (No. 119)
One atom of each set of equivalent atoms:
1 K 0.0000 0.0000 0.0000
2 Zr 0.0000 0.5000 0.7500
3 Br 0.0000 0.0000 0.5000
4 Br 0.0000 0.5000 0.2500

=====

Record 3
An optimized crystal structure of KZr2Br. Source: Alexandria via LeMat-Bulk, functional PBE.

Output
The calculation puts the total magnetic moment at 0.00 μB/f.u. The calculation puts the formation energy (no corrections) at -0.233 eV per atom. As for the energy above the most stable polymorph in this dataset: 7 meV/atom.

Unit cell a=3.5090 b=3.5090 c=31.2646 alpha=90.00 beta=90.00 gamma=120.00
Space group R3m (No. 160, hexagonal axes)
One atom of each set of equivalent atoms:
1 K 0.0000 0.0000 0.0000
2 Zr 0.0000 0.0000 0.2276
3 Zr 0.0000 0.0000 0.4865
4 Br 0.0000 0.0000 0.7549